{
  "formula": "Tc2TeBr",
  "functional": "PBE",
  "state": "optimized geometry",
  "cell": [[3.0599, 0.0000, 0.0000], [0.0000, 3.0599, 0.0000], [0.0000, 0.0000, 8.8623]],
  "species": ["Tc", "Tc", "Br", "Te"],
  "frac_coords": [[0.5000, 0.5000, 0.2171], [0.0000, 0.0000, 0.0303], [0.5000, 0.5000, 0.8319], [0.0000, 0.0000, 0.4206]],
  "e_tot_ry_per_atom": -0.4536,
  "sg": "No. 99",
  "de_polymorph_mev_per_atom": 49,
  "vol_a3_per_atom": 20.7,
  "dos_ef_per_ev_fu": 3.17,
  "formation_energy_uncorrected_kj_per_mol_atoms": 20.7,
  "magnetic_moment_mub_per_atom": 0.000
}

---

{
  "formula": "TcTe3Br",
  "functional": "PBE",
  "state": "optimized geometry",
  "cell": [[5.5392, 0.0000, 0.0000], [0.0000, 5.5392, 0.0000], [0.0000, 0.0000, 5.5392]],
  "species": ["Te", "Te", "Te", "Br", "Tc"],
  "frac_coords": [[0.0000, 0.0000, 0.5000], [0.0000, 0.5000, 0.0000], [0.5000, 0.0000, 0.0000], [0.0000, 0.0000, 0.0000], [0.5000, 0.5000, 0.5000]],
  "e_tot_ry_per_atom": -0.2099,
  "sg": "No. 221",
  "de_polymorph_mev_per_atom": 1073,
  "vol_a3_per_atom": 34.0,
  "dos_ef_per_ev_fu": 3.97,
  "formation_energy_uncorrected_kj_per_mol_atoms": 138.6,
  "magnetic_moment_mub_per_atom": 0.924
}

---

{
  "formula": "TcTe4Br",
  "functional": "PBE",
  "state": "optimized geometry",
  "cell": [[-5.1200, 3.2060, 3.9682], [-2.6387, -7.7642, -0.3824], [6.7489, 1.1012, 4.5491]],
  "species": ["Tc", "Tc", "Te", "Te", "Te", "Te", "Te", "Te", "Te", "Te", "Br", "Br"],
  "frac_coords": [[0.7503, 0.9992, 0.0008], [0.2497, 0.0008, 0.9992], [0.9614, 0.0763, 0.7773], [0.4617, 0.7771, 0.0759], [0.6137, 0.1621, 0.2996], [0.3862, 0.8379, 0.7004], [0.5383, 0.2228, 0.9241], [0.1136, 0.2999, 0.1623], [0.0386, 0.9237, 0.2227], [0.8864, 0.7001, 0.8377], [0.7500, 0.6005, 0.3996], [0.2500, 0.3995, 0.6004]],
  "e_tot_ry_per_atom": -0.3119,
  "sg": "No. 15",
  "de_polymorph_mev_per_atom": 0,
  "vol_a3_per_atom": 33.8,
  "dos_ef_per_ev_fu": 1.88,
  "formation_energy_uncorrected_kj_per_mol_atoms": -13.7,
  "magnetic_moment_mub_per_atom": 0.000
}